A plane-wave DFT calculation with PBE was carried out for crystalline La12Nd5In2 at its relaxed geometry.

Results
Energy relative to the elements: -0.046 eV per atom
Total energy: -4.701 eV per atom
Density of states at the Fermi level: 26.2 states/eV per cell
Magnetic moment: 0.000 μB per atom

Lattice parameters (Å, degrees): 9.240 9.240 8.914 93.80 93.80 61.37
Atoms (fractional coordinates):
La 0.056 0.056 0.329
La 0.070 0.675 0.322
La 0.168 0.541 0.759
La 0.325 0.930 0.678
La 0.422 0.422 0.109
La 0.459 0.832 0.241
La 0.541 0.168 0.759
La 0.578 0.578 0.891
La 0.675 0.070 0.322
La 0.832 0.459 0.241
La 0.930 0.325 0.678
La 0.944 0.944 0.671
Nd 0.193 0.193 0.020
Nd 0.267 0.267 0.421
Nd 0.500 0.500 0.500
Nd 0.733 0.733 0.579
Nd 0.807 0.807 0.980
In 0.171 0.829 0.000
In 0.829 0.171 0.000